No. 1
DFT (PBE-GGA) results for an optimized crystal structure of Sm2Sc8Cd. Values from VASP.

Properties
- magnetic moment (μB/atom) = 0.00
- N(E_F) (states/eV/atom) = 1.7964
- calculated formation energy (meV/atom) = 94

Quantum ESPRESSO input file:
```
&SYSTEM
  ibrav = 0, nat = 11, ntyp = 3
/
ATOMIC_SPECIES
Sc 44.96 Sc.upf
Sm 150.36 Sm.upf
Cd 112.41 Cd.upf
CELL_PARAMETERS angstrom
0.6957 -6.2369 0.0035
3.7417 -4.3814 -7.3453
7.9776 -3.9064 -2.8722
ATOMIC_POSITIONS angstrom
Sc 8.9592 -7.3422 -7.7043
Sc 4.9751 -5.0494 -4.1750
Sc 7.4398 -9.4752 -6.0390
Sc 5.9391 -6.3084 -6.9957
Sc 6.4758 -8.2162 -3.2184
Sc 4.4494 -8.4434 -5.3583
Sc 3.4558 -7.1824 -2.5098
Sc 7.9655 -6.0812 -4.8558
Sm 9.9249 -10.3542 -8.2990
Sm 2.4900 -4.1704 -1.9151
Cd 0.0000 0.0000 0.0000
```

No. 2
DFT (PBE-GGA) results for an optimized crystal structure of LiInO2. Values from VASP.

Properties
- magnetic moment (μB/atom) = 0.00
- formation energy (no corrections) (meV per atom) = -1716
- N(E_F) (states/eV/atom) = 0.0000

Quantum ESPRESSO input file:
```
&SYSTEM
  ibrav = 0, nat = 8, ntyp = 3
/
ATOMIC_SPECIES
In 114.82 In.upf
Li 6.94 Li.upf
O 16.00 O.upf
CELL_PARAMETERS angstrom
4.3840 0.0000 0.0000
0.0000 4.3840 0.0000
-2.1920 -2.1920 4.7452
ATOMIC_POSITIONS angstrom
In 0.0000 1.0960 3.5589
In 2.1920 1.0960 1.1863
Li 0.0000 3.2880 1.1863
Li 2.1920 -1.0960 3.5589
O 0.0000 -1.0960 3.7269
O 0.0000 1.0960 1.3543
O 2.1920 1.0960 3.3909
O 2.1920 3.2880 1.0183
```